[1]
Entry from Alexandria via LeMat-Bulk: a crystal of ScHCl relaxed with PBEsol (SCAN).

Results
As for the symmetry: R-3m, No. 166. Its crystal system is trigonal. For the spin magnetization, the calculation gives 0.0 μB per cell.

Lattice parameters (Å, degrees): 3.438 3.438 9.051 79.05 79.05 60.00
Fractional coordinates of all 6 atoms:
Sc1 0.881 0.881 0.357
Sc2 0.119 0.119 0.643
H1 0.806 0.806 0.583
H2 0.194 0.194 0.417
Cl1 0.392 0.392 0.823
Cl2 0.608 0.608 0.177

***

[2]
Entry from Alexandria via LeMat-Bulk: a crystal of ScH2Cl2 relaxed with PBEsol (SCAN).

Results
As for the symmetry: I4/mmm, No. 139. Its crystal system is tetragonal. For the spin magnetization, the calculation gives 1.0 μB per cell.

Lattice parameters (Å, degrees): 4.524 4.524 4.524 90.57 119.67 119.67
Each line ends with the local moment (μB).
Fractional coordinates of all 5 atoms:
Sc1 0.000 0.000 0.000  0.77
H1 0.000 0.560 0.560  0.01
H2 0.000 0.440 0.440  0.01
Cl1 0.500 0.750 0.250  -0.01
Cl2 0.500 0.250 0.750  -0.01

***

[3]
Entry from Alexandria via LeMat-Bulk: a crystal of HSe2Cl relaxed with PBEsol (SCAN).

Results
As for the symmetry: R-3m, No. 166. Its crystal system is trigonal. For the spin magnetization, the calculation gives 0.1 μB per cell.

Lattice parameters (Å, degrees): 2.849 2.849 10.199 81.97 81.97 60.00
Fractional coordinates of all 4 atoms:
H1 0.000 0.000 0.000
Se1 0.941 0.941 0.178
Se2 0.059 0.059 0.822
Cl1 0.500 0.500 0.500

***

[4]
Entry from Alexandria via LeMat-Bulk: a crystal of SiH2SeCl relaxed with PBEsol (SCAN).

Results
As for the symmetry: P4/mmm, No. 123. Its crystal system is tetragonal. For the spin magnetization, the calculation gives 0.0 μB per cell.

Lattice parameters (Å, degrees): 3.719 3.719 5.027 90.00 90.00 90.00
Fractional coordinates of all 5 atoms:
H1 0.000 0.500 0.000
H2 0.500 0.000 0.000
Si1 0.000 0.000 0.000
Se1 0.000 0.000 0.500
Cl1 0.500 0.500 0.500

***

[5]
Entry from Alexandria via LeMat-Bulk: a crystal of Si5H8Cl4 relaxed with PBEsol (SCAN).

Results
As for the symmetry: I-4, No. 82. Its crystal system is tetragonal. For the spin magnetization, the calculation gives 0.0 μB per cell.

Lattice parameters (Å, degrees): 6.824 7.145 7.145 76.82 61.47 61.47
Fractional coordinates of all 17 atoms:
H1 0.901 0.830 0.129
H2 0.859 0.170 0.871
H3 0.970 0.129 0.170
H4 0.269 0.871 0.830
H5 0.170 0.669 0.316
H6 0.155 0.331 0.684
H7 0.514 0.316 0.331
H8 0.161 0.684 0.669
Si1 0.750 0.500 0.500
Si2 0.023 0.635 0.236
Si3 0.894 0.365 0.764
Si4 0.741 0.236 0.365
Si5 0.342 0.764 0.635
Cl1 0.289 0.402 0.000
Cl2 0.691 0.598 0.000
Cl3 0.711 0.000 0.598
Cl4 0.308 0.000 0.402

***

[6]
Entry from Alexandria via LeMat-Bulk: a crystal of SnH2Cl relaxed with PBEsol (SCAN).

Results
As for the symmetry: Fm-3m, No. 225. Its crystal system is cubic. For the spin magnetization, the calculation gives 0.6 μB per cell.

Lattice parameters (Å, degrees): 4.187 4.187 4.187 60.00 60.00 60.00
Each line ends with the local moment (μB).
Fractional coordinates of all 4 atoms:
H1 0.250 0.250 0.250  0.10
H2 0.750 0.750 0.750  0.10
Sn1 0.500 0.500 0.500  -0.01
Cl1 0.000 0.000 0.000  0.21

***

Per-record E_tot, eV per atom: -10.09, -8.46, -12.49, -8.67, -6.83, -12.04